Record 1
20
Lattice="5.551 0.000 0.000 0.000 5.717 0.000 -5.074 0.000 8.381" Properties=species:S:1:pos:R:3 comment="Na2LiErF6 (PBE, optimized geometry)" final_energy_ev_per_atom=-5.356 vol_a3_per_atom=13.30 crystal_system=monoclinic e_form_raw_mev_per_atom=-3322 pbc="T T T"
Na -0.080 0.324 2.020
Na -2.617 2.535 6.210
Na 3.094 3.183 2.171
Na 0.557 5.394 6.361
Li -2.537 0.000 4.190
Li 0.000 2.859 0.000
Er 2.776 0.000 0.000
Er 0.239 2.859 4.190
F -4.017 1.209 7.868
F -1.480 1.650 3.678
F -3.492 4.028 7.744
F -0.955 4.548 3.554
F -1.652 0.347 6.344
F 0.885 2.511 2.154
F -0.408 3.206 6.227
F 2.129 5.370 2.037
F 1.432 1.169 4.827
F 3.969 1.689 0.637
F 1.957 4.067 4.702
F 4.494 4.509 0.512

=====

Record 2
14
Lattice="6.820 0.000 0.000 0.000 6.450 0.000 -3.370 0.000 9.076" Properties=species:S:1:pos:R:3 comment="Ce4Sb2Ir (PBE, optimized geometry)" final_energy_ev_per_atom=-6.569 vol_a3_per_atom=28.52 crystal_system=monoclinic e_form_raw_mev_per_atom=-734 pbc="T T T"
Ce -0.811 0.183 2.344
Ce -0.811 3.042 2.344
Ce 2.356 4.837 0.679
Ce 0.847 4.837 5.668
Ce 2.603 1.612 3.408
Ce 1.094 1.612 8.396
Ce 4.261 3.408 6.732
Ce 4.261 6.267 6.732
Sb 1.381 1.612 0.381
Sb -0.337 1.612 5.203
Sb 3.787 4.837 3.872
Sb 2.069 4.837 8.695
Ir 1.171 4.837 3.014
Ir 2.279 1.612 6.062

=====

Record 3
6
Lattice="3.190 0.000 0.000 0.000 3.190 0.000 0.000 0.000 12.656" Properties=species:S:1:pos:R:3 comment="CeZn2AsO2 (PBE, optimized geometry)" final_energy_ev_per_atom=-4.533 vol_a3_per_atom=21.46 crystal_system=tetragonal e_form_raw_mev_per_atom=-692 pbc="T T T"
Ce 0.000 0.000 0.000
Zn 0.000 0.000 3.858
Zn 0.000 0.000 8.798
As 0.000 0.000 6.328
O 0.000 0.000 2.002
O 0.000 0.000 10.654

=====

Record 4
20
Lattice="4.910 -7.824 0.000 4.910 7.824 0.000 0.000 0.000 4.787" Properties=species:S:1:pos:R:3 comment="Zr3HgPd6 (PBE, optimized geometry)" final_energy_ev_per_atom=-6.187 vol_a3_per_atom=18.39 crystal_system=orthorhombic formation_energy_ev_per_atom=-0.48 pbc="T T T"
Zr 4.910 6.258 2.393
Zr 3.227 1.510 4.277
Zr 3.227 -1.510 1.883
Zr 6.592 1.510 4.277
Zr 6.592 -1.510 1.883
Zr 4.910 -6.258 0.000
Hg 4.910 3.261 2.517
Hg 4.910 -3.261 0.123
Pd 2.389 3.252 1.264
Pd 1.548 0.755 2.246
Pd 4.910 4.658 0.169
Pd 1.548 -0.755 4.640
Pd 2.389 -3.252 3.658
Pd 4.910 0.670 1.733
Pd 4.910 -0.670 4.126
Pd 7.430 3.252 1.264
Pd 8.271 0.755 2.246
Pd 4.910 -4.658 2.562
Pd 8.271 -0.755 4.640
Pd 7.430 -3.252 3.658

=====

Record 5
8
Lattice="4.553 -6.437 0.000 4.553 6.437 0.000 0.000 0.000 4.561" Properties=species:S:1:pos:R:3 comment="AcTm3Bi4 (PBE, optimized geometry)" final_energy_ev_per_atom=-4.933 vol_a3_per_atom=33.42 crystal_system=orthorhombic formation_energy_ev_per_atom=-0.80 pbc="T T T"
Ac 0.000 0.000 0.000
Tm 2.277 3.218 2.280
Tm 2.277 -3.218 2.280
Tm 4.553 0.000 0.000
Bi 4.553 3.105 0.000
Bi 2.439 0.000 2.280
Bi 6.667 0.000 2.280
Bi 4.553 -3.105 0.000

=====

Record 6
4
Lattice="0.000 4.024 4.024 4.024 0.000 4.024 4.024 4.024 0.000" Properties=species:S:1:pos:R:3 comment="AcDyErSc (PBE, optimized geometry)" final_energy_ev_per_atom=-4.780 vol_a3_per_atom=32.57 crystal_system=cubic formation_energy_ev_per_atom=0.12 pbc="T T T"
Ac 0.000 0.000 0.000
Dy 4.024 4.024 4.024
Er 6.035 6.035 6.035
Sc 2.012 2.012 2.012